1.
{
  "formula": "Mg3Tl3Pb2",
  "functional": "PBE",
  "state": "relaxed",
  "final_energy_ev_per_cell": -19.3,
  "delta_e_f_ev_per_atom": 0.001,
  "volume_a3_per_atom": 27.1,
  "dos_ef_per_ev_atom": 0.45,
  "lattice": [[-2.187, 2.570, 9.624], [2.187, -2.570, 9.624], [2.187, 2.570, -9.624]],
  "species": ["Mg", "Mg", "Mg", "Tl", "Tl", "Tl", "Pb", "Pb"],
  "frac_coords": [[0.000, 0.000, 0.000], [0.379, 0.879, 0.500], [0.621, 0.121, 0.500], [0.119, 0.619, 0.500], [0.500, 0.500, 0.000], [0.881, 0.381, 0.500], [0.253, 0.253, 0.000], [0.747, 0.747, 0.000]]
}

2.
{
  "formula": "Mg6Tl2Pb",
  "functional": "PBE",
  "state": "relaxed",
  "final_energy_ev_per_cell": -18.2,
  "delta_e_f_ev_per_atom": -0.024,
  "volume_a3_per_atom": 24.5,
  "dos_ef_per_ev_atom": 0.27,
  "lattice": [[8.111, 0.000, 0.000], [-4.055, 7.024, 0.000], [0.000, 0.000, 3.875]],
  "species": ["Mg", "Mg", "Mg", "Mg", "Mg", "Mg", "Tl", "Tl", "Pb"],
  "frac_coords": [[0.000, 0.280, 0.000], [0.000, 0.615, 0.500], [0.280, 0.000, 0.000], [0.385, 0.385, 0.500], [0.615, 0.000, 0.500], [0.720, 0.720, 0.000], [0.333, 0.667, 0.000], [0.667, 0.333, 0.000], [0.000, 0.000, 0.500]]
}

3.
{
  "formula": "Mg4TlPb7",
  "functional": "PBE",
  "state": "relaxed",
  "final_energy_ev_per_cell": -33.9,
  "delta_e_f_ev_per_atom": 0.064,
  "volume_a3_per_atom": 30.1,
  "dos_ef_per_ev_atom": 0.38,
  "lattice": [[7.018, -2.872, 0.000], [7.018, 2.872, 0.000], [-6.373, 0.000, 8.964]],
  "species": ["Mg", "Mg", "Mg", "Mg", "Tl", "Pb", "Pb", "Pb", "Pb", "Pb", "Pb", "Pb"],
  "frac_coords": [[0.066, 0.066, 0.275], [0.198, 0.198, 0.829], [0.802, 0.802, 0.171], [0.934, 0.934, 0.725], [0.500, 0.500, 0.500], [0.000, 0.000, 0.500], [0.162, 0.162, 0.091], [0.284, 0.284, 0.619], [0.425, 0.425, 0.138], [0.575, 0.575, 0.862], [0.716, 0.716, 0.381], [0.838, 0.838, 0.909]]
}

4.
{
  "formula": "Mg2TlPb6",
  "functional": "PBE",
  "state": "relaxed",
  "final_energy_ev_per_cell": -27.6,
  "delta_e_f_ev_per_atom": 0.027,
  "volume_a3_per_atom": 30.3,
  "dos_ef_per_ev_atom": 0.49,
  "lattice": [[-1.724, 4.614, 8.571], [1.724, -4.614, 8.571], [1.724, 4.614, -8.571]],
  "species": ["Mg", "Mg", "Tl", "Pb", "Pb", "Pb", "Pb", "Pb", "Pb"],
  "frac_coords": [[0.152, 0.152, 0.000], [0.848, 0.848, 0.000], [0.500, 0.000, 0.500], [0.143, 0.323, 0.820], [0.173, 0.500, 0.673], [0.497, 0.677, 0.820], [0.503, 0.323, 0.180], [0.827, 0.500, 0.327], [0.857, 0.677, 0.180]]
}

5.
{
  "formula": "MgTl2Pb",
  "functional": "PBE",
  "state": "relaxed",
  "final_energy_ev_per_cell": -10.0,
  "delta_e_f_ev_per_atom": 0.001,
  "volume_a3_per_atom": 28.5,
  "dos_ef_per_ev_atom": 0.44,
  "lattice": [[5.582, -1.776, 0.000], [5.582, 1.776, 0.000], [-1.246, 0.000, 5.741]],
  "species": ["Mg", "Tl", "Tl", "Pb"],
  "frac_coords": [[0.000, 0.000, 0.000], [0.500, 0.500, 0.501], [0.741, 0.741, 0.251], [0.258, 0.258, 0.769]]
}

6.
{
  "formula": "MgTl2Pb5",
  "functional": "PBE",
  "state": "relaxed",
  "final_energy_ev_per_cell": -24.8,
  "delta_e_f_ev_per_atom": 0.009,
  "volume_a3_per_atom": 30.1,
  "dos_ef_per_ev_atom": 0.41,
  "lattice": [[-3.600, 3.600, 4.649], [3.600, -3.600, 4.649], [3.600, 3.600, -4.649]],
  "species": ["Mg", "Tl", "Tl", "Pb", "Pb", "Pb", "Pb", "Pb"],
  "frac_coords": [[0.000, 0.000, 0.000], [0.001, 0.501, 0.500], [0.501, 0.001, 0.500], [0.001, 0.001, 0.500], [0.001, 0.501, 0.000], [0.501, 0.001, 0.000], [0.501, 0.501, 0.000], [0.501, 0.501, 0.500]]
}